Record 1
The following is a DFT calculation (PBE) of an optimized crystal structure of Ce3Th2Ni2.

Cell and atoms, written as extended XYZ:
```
7
Lattice="3.616 0.000 0.000 -1.805 5.758 0.000 -0.009 -2.894 8.283" Properties=species:S:1:pos:R:3 pbc="T T T"
Ce 0.000 0.000 0.000
Ce -0.003 -0.067 3.665
Ce 1.806 2.931 4.618
Th 0.002 3.242 1.504
Th 1.800 -0.378 6.779
Ni -0.004 1.816 6.485
Ni 1.807 1.048 1.797
```

## Properties
**Energy**: -0.23947 hartree per atom
**ΔH_f (0 K)**: -4.646 kcal/mol of atoms
**Space group**: P-1 (2)

=====

Record 2
The following is a DFT calculation (PBE) of an optimized crystal structure of Tb6Pr2Er3.

Cell and atoms, written as extended XYZ:
```
11
Lattice="3.061 -5.308 0.000 3.061 5.308 0.000 -2.066 0.000 11.562" Properties=species:S:1:pos:R:3 pbc="T T T"
Tb -0.020 1.770 8.728
Tb 1.017 0.000 2.836
Tb -0.020 -1.770 8.728
Tb 4.077 1.770 2.834
Tb 3.040 0.000 8.726
Tb 4.077 -1.770 2.834
Pr 2.029 1.771 5.781
Pr 2.029 -1.771 5.781
Er 3.061 3.552 0.000
Er 3.061 0.000 0.000
Er 3.061 -3.552 0.000
```

## Properties
**Excess energy over the best structure of this formula in the dataset**: 0.000 eV per atom
**Energy**: -0.16397 hartree per atom
**ΔH_f (0 K)**: 4.084 kcal/mol of atoms
**Space group**: C2/m (12)

=====

Record 3
The following is a DFT calculation (PBE) of an optimized crystal structure of CsBaB2W.

Cell and atoms, written as extended XYZ:
```
5
Lattice="5.467 0.000 0.000 0.000 5.467 0.000 0.000 0.000 5.409" Properties=species:S:1:pos:R:3 pbc="T T T"
Cs 0.000 0.000 0.000
Ba 2.733 2.733 2.704
B 0.000 2.733 2.704
B 2.733 0.000 2.704
W 2.733 2.733 0.000
```

## Properties
**Energy**: -0.10457 hartree per atom
**ΔH_f (0 K)**: 68.520 kcal/mol of atoms
**Space group**: P4/mmm (123)

=====

Record 4
The following is a DFT calculation (PBE) of an optimized crystal structure of LiBe2F5.

Cell and atoms, written as extended XYZ:
```
8
Lattice="4.517 0.000 0.000 1.769 4.263 0.000 1.646 1.005 4.902" Properties=species:S:1:pos:R:3 pbc="T T T"
Li 0.000 0.000 0.000
Be 2.050 3.138 2.948
Be 2.401 0.405 1.922
F 3.270 4.177 3.175
F 2.680 1.923 2.174
F 3.524 4.385 0.605
F 5.581 3.906 1.927
F 5.898 2.719 4.204
```

## Properties
**Energy relative to the elements, uncorrected**: -3.1548 eV/atom
**Energy**: -0.20194 hartree per atom
**Space group**: P1 (1)

=====

Record 5
The following is a DFT calculation (PBE) of an optimized crystal structure of Ce4TeSe2S.

Cell and atoms, written as extended XYZ:
```
16
Lattice="-4.227 4.239 5.989 4.227 -4.239 5.989 4.227 4.239 -5.989" Properties=species:S:1:pos:R:3 pbc="T T T"
Ce 4.227 1.993 -0.143
Ce 0.000 1.986 0.000
Ce 2.015 0.000 2.831
Ce 6.439 0.000 2.831
Ce -2.015 4.239 3.010
Ce 2.015 4.239 3.010
Ce 0.000 2.246 5.846
Ce 0.000 6.491 0.000
Te 2.111 4.239 -0.074
Te 2.116 0.000 5.915
Se 4.227 2.123 2.920
Se 0.000 2.116 8.909
Se -2.113 4.239 5.915
Se 2.113 4.239 5.915
S 0.000 2.116 2.920
S 0.000 6.361 2.920
```

## Properties
**Energy relative to the elements, uncorrected**: -1.7159 eV/atom
**Energy**: -0.23749 hartree per atom
**Space group**: Imm2 (44)

=====

Record 6
The following is a DFT calculation (PBE) of an optimized crystal structure of ReSbP2.

Cell and atoms, written as extended XYZ:
```
4
Lattice="-1.489 2.767 4.648 1.489 -2.767 4.648 1.489 2.767 -4.648" Properties=species:S:1:pos:R:3 pbc="T T T"
Re 0.000 0.000 0.000
Sb 0.000 0.000 4.648
P 1.489 0.000 1.856
P 0.000 2.767 2.792
```

## Properties
**Energy relative to the elements, uncorrected**: 0.5162 eV/atom
**Energy**: -0.23267 hartree per atom
**Space group**: Immm (71)

=====

Record 7
The following is a DFT calculation (PBE) of an optimized crystal structure of Sc2VIr.

Cell and atoms, written as extended XYZ:
```
8
Lattice="-3.717 3.717 2.822 3.717 -3.717 2.822 3.717 3.717 -2.822" Properties=species:S:1:pos:R:3 pbc="T T T"
Sc 5.575 1.608 -0.706
Sc 1.608 1.858 0.706
Sc -1.858 2.109 2.117
Sc 2.109 1.858 3.528
V 3.717 0.000 1.411
V 0.000 0.000 2.822
Ir 0.000 0.000 0.000
Ir 0.000 3.717 1.411
```

## Properties
**Excess energy over the best structure of this formula in the dataset**: 0.526 eV per atom
**Energy**: -0.27809 hartree per atom
**ΔH_f (0 K)**: 2.157 kcal/mol of atoms
**Space group**: I-42d (122)

=====

Record 8
The following is a DFT calculation (PBE) of an optimized crystal structure of LiPuO3.

Cell and atoms, written as extended XYZ:
```
10
Lattice="1.782 -6.237 0.000 1.782 6.237 0.000 0.000 0.000 5.527" Properties=species:S:1:pos:R:3 pbc="T T T"
Li 1.782 5.540 4.146
Li 1.782 -5.540 1.382
Pu 1.782 2.201 4.146
Pu 1.782 -2.201 1.382
O 1.782 4.107 0.021
O 1.782 4.107 2.743
O 1.782 0.258 4.146
O 1.782 -0.258 1.382
O 1.782 -4.107 2.784
O 1.782 -4.107 5.507
```

## Properties
**Energy relative to the elements, uncorrected**: -2.5265 eV/atom
**Energy**: -0.32158 hartree per atom
**Space group**: Cmcm (63)

=====

Record 9
The following is a DFT calculation (PBE) of an optimized crystal structure of Re2RhPb.

Cell and atoms, written as extended XYZ:
```
4
Lattice="4.735 -1.506 0.000 4.735 1.506 0.000 -0.839 0.000 4.795" Properties=species:S:1:pos:R:3 pbc="T T T"
Re 2.078 0.000 0.991
Re 6.552 0.000 3.804
Rh 4.735 0.000 0.000
Pb -0.420 0.000 2.398
```

## Properties
**Energy**: -0.30941 hartree per atom
**ΔH_f (0 K)**: 13.132 kcal/mol of atoms
**Space group**: C2/m (12)

=====

Record 10
The following is a DFT calculation (PBE) of an optimized crystal structure of PmAgGe2Pd.

Cell and atoms, written as extended XYZ:
```
5
Lattice="-2.139 2.139 5.380 2.139 -2.139 5.380 2.139 2.139 -5.380" Properties=species:S:1:pos:R:3 pbc="T T T"
Pm 0.000 0.000 0.000
Ag 2.139 0.000 2.690
Ge 0.000 0.000 4.155
Ge 0.000 0.000 6.606
Pd 0.000 2.139 2.690
```

## Properties
**Energy**: -0.18438 hartree per atom
**ΔH_f (0 K)**: -14.100 kcal/mol of atoms
**Space group**: I-4m2 (119)

=====

Record 11
The following is a DFT calculation (PBE) of an optimized crystal structure of Ac2CdF.

Cell and atoms, written as extended XYZ:
```
4
Lattice="3.669 0.000 0.000 0.000 3.669 0.000 0.000 0.000 8.405" Properties=species:S:1:pos:R:3 pbc="T T T"
Ac 0.000 0.000 1.959
Ac 0.000 0.000 6.446
Cd 1.834 1.834 4.203
F 1.834 1.834 0.000
```

## Properties
**Excess energy over the best structure of this formula in the dataset**: 0.204 eV per atom
**Energy relative to the elements, uncorrected**: -1.0114 eV/atom
**Energy**: -0.13826 hartree per atom
**Space group**: P4/mmm (123)

=====

Record 12
The following is a DFT calculation (PBE) of an optimized crystal structure of Cr2CoSi.

Cell and atoms, written as extended XYZ:
```
4
Lattice="-1.831 1.831 3.484 1.831 -1.831 3.484 1.831 1.831 -3.484" Properties=species:S:1:pos:R:3 pbc="T T T"
Cr 0.000 0.000 0.000
Cr 0.000 1.831 1.742
Co 0.000 0.000 3.484
Si 1.831 0.000 1.742
```

## Properties
**Energy relative to the elements, uncorrected**: -0.1742 eV/atom
**Energy**: -0.29833 hartree per atom
**Space group**: I-4m2 (119)